CsBa2NiF8: relaxed, PBE with a Hubbard U.

Total DFT energy (no corrections) (eV/atom): -4.77

a = 4.941 Å, b = 5.787 Å, c = 8.350 Å
α = 86.31°, β = 85.79°, γ = 74.23°
Space group P-1 (No. 2)
Symmetry-distinct sites (fractional):
Cs1 0.000 0.000 0.000 (multiplicity 1)
Ba1 0.434 0.462 0.264 (multiplicity 2)
Ni1 0.000 0.000 0.500 (multiplicity 1)
F1 0.028 0.233 0.320 (multiplicity 2)
F2 0.063 0.204 0.657 (multiplicity 2)
F3 0.384 0.809 0.476 (multiplicity 2)
F4 0.393 0.306 0.983 (multiplicity 2)